This record from Alexandria describes AcLu2In after structural relaxation. The functional is PBE.

a = 7.852 Å, b = 7.852 Å, c = 7.852 Å
α = 90.00°, β = 90.00°, γ = 90.00°
Element x y z (fractional)
Ac 0.000 0.000 0.000
Ac 0.000 0.500 0.500
Ac 0.500 0.000 0.500
Ac 0.500 0.500 0.000
Lu 0.250 0.250 0.250
Lu 0.250 0.250 0.750
Lu 0.250 0.750 0.250
Lu 0.250 0.750 0.750
Lu 0.750 0.250 0.250
Lu 0.750 0.250 0.750
Lu 0.750 0.750 0.250
Lu 0.750 0.750 0.750
In 0.000 0.000 0.500
In 0.000 0.500 0.000
In 0.500 0.000 0.000
In 0.500 0.500 0.500

Offset from the most stable computed form ... 0.211 eV/atom

=====

This record from Alexandria describes AcLuIn2 after structural relaxation. The functional is PBE.

a = 3.797 Å, b = 3.797 Å, c = 30.384 Å
α = 90.00°, β = 90.00°, γ = 120.00°
Element x y z (fractional)
Ac 0.000 0.000 0.000
Ac 0.333 0.667 0.667
Ac 0.667 0.333 0.333
Lu 0.000 0.000 0.500
Lu 0.333 0.667 0.167
Lu 0.667 0.333 0.833
In 0.000 0.000 0.243
In 0.000 0.000 0.757
In 0.333 0.667 0.424
In 0.333 0.667 0.909
In 0.667 0.333 0.091
In 0.667 0.333 0.576

=====

This record from Alexandria describes AcLuIn after structural relaxation. The functional is PBE.

a = 5.387 Å, b = 5.387 Å, c = 3.978 Å
α = 90.00°, β = 90.00°, γ = 120.00°
Element x y z (fractional)
Ac 0.000 0.000 0.000
Lu 0.333 0.667 0.501
In 0.667 0.333 0.497

Offset from the most stable computed form ... 0.027 eV/atom

=====

This record from Alexandria describes AcLuIn4 after structural relaxation. The functional is PBE.

a = 6.163 Å, b = 6.163 Å, c = 6.163 Å
α = 60.00°, β = 60.00°, γ = 60.00°
Element x y z (fractional)
Ac 0.000 0.000 0.000
Lu 0.250 0.250 0.250
In 0.126 0.625 0.625
In 0.625 0.126 0.625
In 0.625 0.625 0.126
In 0.625 0.625 0.625

=====

This record from Alexandria describes AcPrLuIn after structural relaxation. The functional is PBE.

a = 7.984 Å, b = 7.984 Å, c = 7.984 Å
α = 90.00°, β = 90.00°, γ = 90.00°
Element x y z (fractional)
Ac 0.000 0.000 0.000
Ac 0.000 0.500 0.500
Ac 0.500 0.000 0.500
Ac 0.500 0.500 0.000
Pr 0.250 0.250 0.250
Pr 0.250 0.750 0.750
Pr 0.750 0.250 0.750
Pr 0.750 0.750 0.250
Lu 0.250 0.250 0.750
Lu 0.250 0.750 0.250
Lu 0.750 0.250 0.250
Lu 0.750 0.750 0.750
In 0.000 0.000 0.500
In 0.000 0.500 0.000
In 0.500 0.000 0.000
In 0.500 0.500 0.500

=====

This record from Alexandria describes AcLuInRh after structural relaxation. The functional is PBE.

a = 7.486 Å, b = 7.486 Å, c = 7.486 Å
α = 90.00°, β = 90.00°, γ = 90.00°
Element x y z (fractional)
Ac 0.000 0.000 0.000
Ac 0.000 0.500 0.500
Ac 0.500 0.000 0.500
Ac 0.500 0.500 0.000
Lu 0.000 0.000 0.500
Lu 0.000 0.500 0.000
Lu 0.500 0.000 0.000
Lu 0.500 0.500 0.500
In 0.250 0.250 0.250
In 0.250 0.750 0.750
In 0.750 0.250 0.750
In 0.750 0.750 0.250
Rh 0.250 0.250 0.750
Rh 0.250 0.750 0.250
Rh 0.750 0.250 0.250
Rh 0.750 0.750 0.750

=====

This record from Alexandria describes AcLuScIn after structural relaxation. The functional is PBE.

a = 7.726 Å, b = 7.726 Å, c = 7.726 Å
α = 90.00°, β = 90.00°, γ = 90.00°
Element x y z (fractional)
Ac 0.000 0.000 0.000
Ac 0.000 0.500 0.500
Ac 0.500 0.000 0.500
Ac 0.500 0.500 0.000
Lu 0.250 0.250 0.250
Lu 0.250 0.750 0.750
Lu 0.750 0.250 0.750
Lu 0.750 0.750 0.250
Sc 0.250 0.250 0.750
Sc 0.250 0.750 0.250
Sc 0.750 0.250 0.250
Sc 0.750 0.750 0.750
In 0.000 0.000 0.500
In 0.000 0.500 0.000
In 0.500 0.000 0.000
In 0.500 0.500 0.500

=====

This record from Alexandria describes AcSmLuIn after structural relaxation. The functional is PBE.

a = 7.927 Å, b = 7.927 Å, c = 7.927 Å
α = 90.00°, β = 90.00°, γ = 90.00°
Element x y z (fractional)
Ac 0.000 0.000 0.000
Ac 0.000 0.500 0.500
Ac 0.500 0.000 0.500
Ac 0.500 0.500 0.000
Sm 0.250 0.250 0.250
Sm 0.250 0.750 0.750
Sm 0.750 0.250 0.750
Sm 0.750 0.750 0.250
Lu 0.250 0.250 0.750
Lu 0.250 0.750 0.250
Lu 0.750 0.250 0.250
Lu 0.750 0.750 0.750
In 0.000 0.000 0.500
In 0.000 0.500 0.000
In 0.500 0.000 0.000
In 0.500 0.500 0.500

=====

In order of appearance, formation energy from the elements = 0.027; -0.225; -0.208; -0.284; -0.031; -0.384; 0.009; -0.019 eV/atom.